Entry 1:
Compound: K2Hg4Pt
Source: the Alexandria database
Functional: PBE
Structure: optimized geometry

Properties
energy of formation from the pure elements = -0.234 eV/atom

Cell and atoms, written as CIF:
```
data_K2Hg4Pt
_cell_length_a 5.366
_cell_length_b 5.366
_cell_length_c 17.322
_cell_angle_alpha 90.00
_cell_angle_beta 90.00
_cell_angle_gamma 90.00
_symmetry_space_group_name_H-M 'I 4/m m m'
_symmetry_Int_Tables_number 139
_symmetry_space_group_name_Hall '-I 4 2'
loop_
_atom_site_label
_atom_site_type_symbol
_atom_site_fract_x
_atom_site_fract_y
_atom_site_fract_z
K1 K 0.000 0.000 0.140
Hg1 Hg 0.000 0.000 0.340
Hg2 Hg 0.000 0.500 0.000
Pt1 Pt 0.000 0.000 0.500
```

=====

Entry 2:
Compound: Rb3CuPd
Source: the Alexandria database
Functional: PBE
Structure: optimized geometry

Properties
energy of formation from the pure elements = 0.345 eV/atom

Cell and atoms, written as CIF:
```
data_Rb3CuPd
_cell_length_a 6.434
_cell_length_b 6.434
_cell_length_c 6.434
_cell_angle_alpha 90.00
_cell_angle_beta 90.00
_cell_angle_gamma 90.00
_symmetry_space_group_name_H-M 'P m -3 m'
_symmetry_Int_Tables_number 221
_symmetry_space_group_name_Hall '-P 4 2 3'
loop_
_atom_site_label
_atom_site_type_symbol
_atom_site_fract_x
_atom_site_fract_y
_atom_site_fract_z
Rb1 Rb 0.000 0.000 0.500
Cu1 Cu 0.500 0.500 0.500
Pd1 Pd 0.000 0.000 0.000
```

=====

For the records above, the corresponding relative energy among the computed polymorphs values read 11; 0 meV/atom.